# 1
The following is a PBE calculation of a geometry-optimized TbEr3Tm2S6 structure, from Alexandria via LeMat-Bulk.

For the density of states at the Fermi level, the calculation gives 4.72 states/eV/f.u. Its formation energy (no corrections) is -1.96 eV per atom. The crystal system is monoclinic. Its energy is -6.29 eV/atom. The value obtained for the total moment is 0.00 μB per formula unit.

The structure belongs to space group C2/m (No. 12); the cell edges are 6.679, 11.625 and 6.697 Å and the angles 90.00°, 109.48° and 90.00°. The asymmetric unit holds Tb at (0.000, 0.000, 0.000), Er at (0.000, 0.164, 0.500), Er at (0.000, 0.500, 0.500), Tm at (0.000, 0.334, 0.000), S at (0.245, 0.500, 0.249) and S at (0.247, 0.331, 0.749).



# 2
The following is a PBE calculation of a geometry-optimized TbErTm2S4 structure, from Alexandria via LeMat-Bulk.

For the density of states at the Fermi level, the calculation gives 4.77 states/eV/f.u. Its formation energy (no corrections) is -1.95 eV per atom. The crystal system is monoclinic. Its energy is -6.28 eV/atom. The value obtained for the total moment is 0.00 μB per formula unit.

The structure belongs to space group P2/m (No. 10); the cell edges are 6.716, 3.832 and 6.729 Å and the angles 90.00°, 109.02° and 90.00°. The asymmetric unit holds Tb at (0.000, 0.000, 0.000), Er at (0.500, 0.500, 0.000), Tm at (0.000, 0.500, 0.500), Tm at (0.500, 0.000, 0.500), S at (0.251, 0.000, 0.746) and S at (0.255, 0.500, 0.256).



# 3
The following is a PBE calculation of a geometry-optimized TbEr2TmS4 structure, from Alexandria via LeMat-Bulk.

For the density of states at the Fermi level, the calculation gives 4.76 states/eV/f.u. Its formation energy (no corrections) is -1.96 eV per atom. The crystal system is monoclinic. Its energy is -6.30 eV/atom. The value obtained for the total moment is 0.00 μB per formula unit.

The structure belongs to space group P2/m (No. 10); the cell edges are 6.719, 3.840 and 6.741 Å and the angles 90.00°, 109.06° and 90.00°. The asymmetric unit holds Tb at (0.000, 0.000, 0.000), Er at (0.500, 0.000, 0.500), Er at (0.500, 0.500, 0.000), Tm at (0.000, 0.500, 0.500), S at (0.250, 0.000, 0.746) and S at (0.253, 0.500, 0.255).



# 4
The following is a PBE calculation of a geometry-optimized Tb3Er4TmS8 structure, from Alexandria via LeMat-Bulk.

For the density of states at the Fermi level, the calculation gives 8.75 states/eV/f.u. Its formation energy (no corrections) is -1.97 eV per atom. The crystal system is trigonal. Its energy is -6.32 eV/atom. The value obtained for the total moment is 0.00 μB per formula unit.

The structure belongs to space group R-3m (No. 166, hexagonal axes); the cell edges are 7.7689, 7.7689 and 19.0491 Å and the angles 90.00°, 90.00° and 120.00°. The asymmetric unit holds Tb at (0.0000, 0.5000, 0.0000), Er at (0.0000, 0.0000, 0.5000), Er at (0.0000, 0.5000, 0.5000), Tm at (0.0000, 0.0000, 0.0000), S at (0.0000, 0.0000, 0.2478) and S at (0.0039, 0.5020, 0.7512).